## PmScTl2 (GGA-PBE)

Data for an optimized crystal structure of PmScTl2.

Values from the calculation:
Density of states at the Fermi level = 2.89 states/eV per cell
ρ = 9.51 Mg/m³
Energy of formation from the pure elements = -0.329 eV/atom

Lattice parameters (Å, degrees): 3.7197 3.7197 7.5597 90.00 90.00 90.00
Fractional coordinates of all 4 atoms:
Pm 0.0000 0.0000 0.0000
Sc 0.0000 0.0000 0.5000
Tl 0.5000 0.5000 0.2733
Tl 0.5000 0.5000 0.7267